AlGeN3 after structural relaxation, computed with PBE-GGA.

Properties
mass density = 4.43 Mg/m³
raw formation energy = 1.290 eV/atom

abc: 3.757 3.757 3.757
angles: 90.00 90.00 90.00
Fractional positions:
Al (0.000, 0.000, 0.000)
Ge (0.500, 0.500, 0.500)
N (0.000, 0.500, 0.500)
N (0.500, 0.000, 0.500)
N (0.500, 0.500, 0.000)